No. 1
DFT (GGA-PBE) results for crystalline LaSmPbAu at its relaxed geometry.

Its formation energy from the elements is -632 meV/atom. The density of states at the Fermi level comes out at 11.1 states/eV/cell. As for the final energy: -4.79 eV/atom.

The structure belongs to space group F-43m (No. 216); the cell edges are 7.711, 7.711 and 7.711 Å and the angles 90.00°, 90.00° and 90.00°. Symmetry generates all atoms from La at (0.000, 0.000, 0.000), Sm at (0.000, 0.000, 0.500), Pb at (0.250, 0.250, 0.250) and Au at (0.250, 0.250, 0.750).

No. 2
DFT (GGA-PBE) results for crystalline MnTlSn2Ge at its relaxed geometry.

Its formation energy from the elements is 149 meV/atom. The density of states at the Fermi level comes out at 2.5 states/eV/cell. As for the final energy: -4.68 eV/atom.

The structure belongs to space group P4/mmm (No. 123); the cell edges are 5.121, 5.121 and 4.655 Å and the angles 90.00°, 90.00° and 90.00°. Symmetry generates all atoms from Mn at (0.000, 0.000, 0.000), Tl at (0.500, 0.500, 0.500), Sn at (0.000, 0.500, 0.000) and Ge at (0.000, 0.000, 0.500).

No. 3
DFT (GGA-PBE) results for crystalline SrLaSe2 at its relaxed geometry.

The energy relative to the elements, uncorrected is -154.08 kJ per mole of atoms. The density of states at the Fermi level comes out at 11.4 states/eV/cell. As for the final energy: -4.99 eV/atom.

The structure belongs to space group I-42d (No. 122); the cell edges are 6.893, 6.893 and 13.683 Å and the angles 90.00°, 90.00° and 90.00°. Symmetry generates all atoms from Sr at (0.000, 0.000, 0.000), La at (0.000, 0.000, 0.500) and Se at (0.238, 0.250, 0.625).

No. 4
DFT (GGA-PBE) results for crystalline SrHg4Br at its relaxed geometry.

The energy relative to the elements, uncorrected is -42.01 kJ per mole of atoms. The density of states at the Fermi level comes out at 7.1 states/eV/cell. As for the final energy: -1.20 eV/atom.

The structure belongs to space group F-43m (No. 216); the cell edges are 8.945, 8.945 and 8.945 Å and the angles 90.00°, 90.00° and 90.00°. Symmetry generates all atoms from Sr at (0.000, 0.000, 0.000), Hg at (0.125, 0.125, 0.375) and Br at (0.250, 0.250, 0.750).

No. 5
DFT (GGA-PBE) results for crystalline Li3NpSe2S at its relaxed geometry.

The energy relative to the elements, uncorrected is -105.39 kJ per mole of atoms. The density of states at the Fermi level comes out at 20.9 states/eV/cell. As for the final energy: -5.35 eV/atom.

The structure belongs to space group Immm (No. 71); the cell edges are 4.488, 5.415 and 13.608 Å and the angles 90.00°, 90.00° and 90.00°. Symmetry generates all atoms from Li at (0.000, 0.000, 0.000), Li at (0.000, 0.500, 0.320), Np at (0.000, 0.000, 0.500), Se at (0.000, 0.500, 0.138) and S at (0.000, 0.500, 0.500).

No. 6
DFT (GGA-PBE) results for crystalline AgW at its relaxed geometry.

Its formation energy from the elements is 1814 meV/atom. The density of states at the Fermi level comes out at 12.4 states/eV/cell. As for the final energy: -6.09 eV/atom.

The structure belongs to space group I-43m (No. 217); the cell edges are 8.366, 8.366 and 8.366 Å and the angles 90.00°, 90.00° and 90.00°. Symmetry generates all atoms from Ag at (0.206, 0.206, 0.206) and W at (0.105, 0.105, 0.895).

No. 7
DFT (GGA-PBE) results for crystalline Nd2CuNi4P3 at its relaxed geometry.

Its formation energy from the elements is -858 meV/atom. The density of states at the Fermi level comes out at 5.4 states/eV/cell. As for the final energy: -6.16 eV/atom.

The structure belongs to space group P-4m2 (No. 115); the cell edges are 4.021, 4.021 and 9.315 Å and the angles 90.00°, 90.00° and 90.00°. Symmetry generates all atoms from Nd at (0.000, 0.500, 0.248), Cu at (0.000, 0.000, 0.500), Ni at (0.000, 0.000, 0.000), Ni at (0.000, 0.500, 0.625), Ni at (0.500, 0.500, 0.000), P at (0.000, 0.500, 0.869) and P at (0.500, 0.500, 0.500).

No. 8
DFT (GGA-PBE) results for crystalline AlTcC2O at its relaxed geometry.

The energy relative to the elements, uncorrected is 181.49 kJ per mole of atoms. The density of states at the Fermi level comes out at 2.5 states/eV/cell. As for the final energy: -5.62 eV/atom.

The structure belongs to space group P4/mmm (No. 123); the cell edges are 4.025, 4.025 and 3.659 Å and the angles 90.00°, 90.00° and 90.00°. Symmetry generates all atoms from Al at (0.000, 0.000, 0.000), Tc at (0.500, 0.500, 0.000), C at (0.000, 0.500, 0.500) and O at (0.500, 0.500, 0.500).

No. 9
DFT (GGA-PBE) results for crystalline CdCo2CuC at its relaxed geometry.

Its formation energy from the elements is 162 meV/atom. The density of states at the Fermi level comes out at 2.0 states/eV/cell. As for the final energy: -5.53 eV/atom.

The structure belongs to space group P4/mmm (No. 123); the cell edges are 3.786, 3.786 and 4.063 Å and the angles 90.00°, 90.00° and 90.00°. Symmetry generates all atoms from Cd at (0.000, 0.000, 0.000), Co at (0.000, 0.500, 0.500), Cu at (0.500, 0.500, 0.000) and C at (0.500, 0.500, 0.500).

No. 10
DFT (GGA-PBE) results for crystalline Mn2WCl at its relaxed geometry.

The energy relative to the elements, uncorrected is 22.69 kJ per mole of atoms. The density of states at the Fermi level comes out at 7.8 states/eV/cell. As for the final energy: -8.05 eV/atom.

The structure belongs to space group Cmmm (No. 65); the cell edges are 3.216, 4.815 and 8.071 Å and the angles 90.00°, 90.00° and 90.00°. Symmetry generates all atoms from Mn at (0.000, 0.000, 0.249), W at (0.000, 0.500, 0.000) and Cl at (0.000, 0.500, 0.500).

No. 11
DFT (GGA-PBE) results for crystalline Er2ThTaC4 at its relaxed geometry.

Its formation energy from the elements is -271 meV/atom. The density of states at the Fermi level comes out at 18.8 states/eV/cell. As for the final energy: -8.43 eV/atom.

The structure belongs to space group Imma (No. 74); the cell edges are 6.943, 7.034 and 9.911 Å and the angles 90.00°, 90.00° and 90.00°. Symmetry generates all atoms from Er at (0.000, 0.000, 0.000), Er at (0.250, 0.250, 0.250), Th at (0.000, 0.000, 0.500), Ta at (0.250, 0.250, 0.750), C at (0.000, 0.023, 0.753) and C at (0.247, 0.250, 0.978).

No. 12
DFT (GGA-PBE) results for crystalline Sm2BeNi3Ge4 at its relaxed geometry.

Its formation energy from the elements is -641 meV/atom. The density of states at the Fermi level comes out at 4.0 states/eV/cell. As for the final energy: -5.54 eV/atom.

The structure belongs to space group P-4m2 (No. 115); the cell edges are 4.106, 4.106 and 9.742 Å and the angles 90.00°, 90.00° and 90.00°. Symmetry generates all atoms from Sm at (0.000, 0.500, 0.248), Be at (0.500, 0.500, 0.000), Ni at (0.000, 0.000, 0.000), Ni at (0.000, 0.500, 0.625), Ge at (0.000, 0.000, 0.500), Ge at (0.000, 0.500, 0.870) and Ge at (0.500, 0.500, 0.500).